Pr8GaTe5 | PBE-GGA | optimized geometry

Cell lengths 8.226, 8.226, 8.226 Å; angles 109.67, 109.67, 109.08 degrees
Fractional positions:
Pr: 0.007 0.128 0.738
Pr: 0.225 0.481 0.605
Pr: 0.380 0.775 0.256
Pr: 0.390 0.269 0.262
Pr: 0.519 0.124 0.744
Pr: 0.731 0.993 0.121
Pr: 0.872 0.610 0.879
Pr: 0.876 0.620 0.395
Ga: 0.750 0.250 0.500
Te: 0.003 0.375 0.124
Te: 0.121 0.997 0.372
Te: 0.251 0.879 0.876
Te: 0.500 0.500 0.000
Te: 0.625 0.749 0.628

The calculation puts the density of states at the Fermi level at 0.992 states/eV/atom. The uncorrected formation energy is -15.69 eV/f.u. As for the spin magnetization: 0.000 μB per cell. Its symmetry is I-4.